No. 1
VASP calculation (meta-GGA SCAN) on a crystal of AgPRhS2 relaxed with PBEsol.

Unit cell a=4.620 b=4.640 c=4.640 alpha=90.00 beta=90.00 gamma=90.00
Last column: magnetic moment on the atom in μB.
Fractional positions:
Ag (0.000, 0.000, 0.000)  0.01
S (0.000, 0.000, 0.500)  0.21
S (0.000, 0.500, 0.000)  0.21
Rh (0.500, 0.500, 0.500)  1.63
P (0.500, 0.000, 0.000)  0.01

## Properties
Energy above the most stable polymorph in this dataset, meV/atom: 854
Energy relative to the elements, uncorrected, eV per atom: 1.39
Crystal system: tetragonal
N(E_F), states/eV per atom: 0.932
Spin magnetization, μB per formula unit: 2.3

---

No. 2
VASP calculation (meta-GGA SCAN) on a crystal of Ba2TbBiO6 relaxed with PBEsol.

Unit cell a=6.096 b=6.096 c=6.096 alpha=60.00 beta=60.00 gamma=60.00
Fractional positions:
O (0.756, 0.244, 0.756)
O (0.244, 0.756, 0.244)
O (0.244, 0.756, 0.756)
Tb (0.500, 0.500, 0.500)
Bi (0.000, 0.000, 0.000)
O (0.756, 0.244, 0.244)
Ba (0.750, 0.750, 0.750)
O (0.244, 0.244, 0.756)
Ba (0.250, 0.250, 0.250)
O (0.756, 0.756, 0.244)

## Properties
Energy relative to the elements, uncorrected, eV per atom: -2.61
Crystal system: cubic
N(E_F), states/eV per atom: 0.000
Spin magnetization, μB per formula unit: 0.0

---

No. 3
VASP calculation (meta-GGA SCAN) on a crystal of MgAgPb2 relaxed with PBEsol.

Unit cell a=3.424 b=3.424 c=9.844 alpha=79.99 beta=79.99 gamma=60.00
Fractional positions:
Pb (0.246, 0.246, 0.262)
Pb (0.754, 0.754, 0.738)
Mg (0.000, 0.000, 0.000)
Ag (0.500, 0.500, 0.500)

## Properties
ΔH_f (0 K), eV/atom: 0.019
Crystal system: trigonal
N(E_F), states/eV per atom: 0.344
Spin magnetization, μB per formula unit: 0.0

---

No. 4
VASP calculation (meta-GGA SCAN) on a crystal of ZrInSi2 relaxed with PBEsol.

Unit cell a=4.095 b=4.095 c=5.109 alpha=113.63 beta=113.63 gamma=90.00
Fractional positions:
Si (0.750, 0.250, 0.500)
Si (0.250, 0.750, 0.500)
In (0.000, 0.000, 0.000)
Zr (0.500, 0.500, 0.000)

## Properties
Energy relative to the elements, uncorrected, eV per atom: -0.05
Crystal system: tetragonal
N(E_F), states/eV per atom: 0.400
Spin magnetization, μB per formula unit: 0.0

---

No. 5
VASP calculation (meta-GGA SCAN) on a crystal of ZrTc2P relaxed with PBEsol.

Unit cell a=2.883 b=4.846 c=5.101 alpha=117.60 beta=105.24 gamma=92.38
Fractional positions:
P (0.000, 0.500, 0.000)
Zr (0.500, 0.000, 0.000)
Tc (0.000, 0.000, 0.500)
Tc (0.500, 0.500, 0.500)

## Properties
ΔH_f (0 K), eV/atom: -0.107
Crystal system: monoclinic
N(E_F), states/eV per atom: 0.820
Spin magnetization, μB per formula unit: 0.0

---

No. 6
VASP calculation (meta-GGA SCAN) on a crystal of Ba2YV3O8 relaxed with PBEsol.

Unit cell a=3.882 b=3.882 c=11.198 alpha=90.00 beta=90.00 gamma=90.00
Last column: magnetic moment on the atom in μB.
Fractional positions:
O (0.500, 0.000, 0.371)  -0.01
Ba (0.000, 0.000, 0.173)  0.00
V (0.500, 0.500, 0.354)  1.63
O (0.500, 0.500, 0.820)  0.01
O (0.000, 0.500, 0.000)  0.05
Y (0.000, 0.000, 0.500)  0.03
O (0.500, 0.000, 0.629)  -0.01
O (0.000, 0.500, 0.371)  -0.01
O (0.500, 0.500, 0.180)  0.01
V (0.500, 0.500, 0.000)  -1.26
V (0.500, 0.500, 0.646)  1.63
Ba (0.000, 0.000, 0.827)  0.00
O (0.000, 0.500, 0.629)  -0.01
O (0.500, 0.000, 0.000)  0.05

## Properties
Energy relative to the elements, uncorrected, eV per atom: -2.95
Crystal system: tetragonal
N(E_F), states/eV per atom: 0.400
Spin magnetization, μB per formula unit: 2.3

---

No. 7
VASP calculation (meta-GGA SCAN) on a crystal of Te6IrBr3 relaxed with PBEsol.

Unit cell a=9.580 b=9.580 c=9.580 alpha=108.58 beta=108.58 gamma=108.58
Fractional positions:
Te (0.316, 0.329, 0.568)
Te (0.816, 0.068, 0.829)
Te (0.568, 0.316, 0.329)
Br (0.750, 0.011, 0.489)
Te (0.829, 0.816, 0.068)
Te (0.432, 0.684, 0.671)
Te (0.671, 0.432, 0.684)
Br (0.489, 0.750, 0.011)
Te (0.171, 0.184, 0.932)
Te (0.329, 0.568, 0.316)
Br (0.989, 0.511, 0.250)
Ir (0.250, 0.250, 0.250)
Te (0.932, 0.171, 0.184)
Ir (0.750, 0.750, 0.750)
Te (0.684, 0.671, 0.432)
Te (0.068, 0.829, 0.816)
Br (0.011, 0.489, 0.750)
Br (0.250, 0.989, 0.511)
Br (0.511, 0.250, 0.989)
Te (0.184, 0.932, 0.171)

## Properties
Energy relative to the elements, uncorrected, eV per atom: -0.32
Crystal system: trigonal
Spin magnetization, μB per formula unit: 0.0

---

No. 8
VASP calculation (meta-GGA SCAN) on a crystal of K2BeSb relaxed with PBEsol.

Unit cell a=5.249 b=5.520 c=5.249 alpha=61.61 beta=90.00 gamma=118.39
Last column: magnetic moment on the atom in μB.
Fractional positions:
Sb (0.500, 0.000, 0.500)  0.11
K (0.250, 0.500, 0.250)  0.02
Be (0.750, 0.500, 0.750)  0.10
K (0.000, 0.000, 0.000)  0.01

## Properties
Energy above the most stable polymorph in this dataset, meV/atom: 388
Energy relative to the elements, uncorrected, eV per atom: 0.29
Crystal system: tetragonal
N(E_F), states/eV per atom: 0.366
Spin magnetization, μB per formula unit: 0.6